## Li4Mn3O7 (PBE with a Hubbard U)

Data for Li4Mn3O7 after structural relaxation.

Calculated values
Magnetization = 0.79 μB/atom
E = -6.41 eV per atom
Theoretical density = 3.85 Mg/m³

Cell: 5.0944 5.7872 9.4527 Å, 90.39 99.72 106.86°
With the nearest neighbours (Å) after each atom.
Space group P-1 (No. 2)
One atom of each set of equivalent atoms:
Li (0.0000, 0.0000, 0.0000) (multiplicity 1)  6 O 2.15-2.20
Li (0.0000, 0.5000, 0.0000) (multiplicity 1)  6 O 2.06-2.21
Li (0.1514, 0.2874, 0.2804) (multiplicity 2)  5 O 2.09-2.30
Li (0.2620, 0.5726, 0.5979) (multiplicity 2)  5 O 2.02-2.13
Li (0.4050, 0.8539, 0.8746) (multiplicity 2)  5 O 2.02-2.13
Mn (0.1553, 0.7879, 0.2704) (multiplicity 2)  5 O 1.92-2.13
Mn (0.2810, 0.0719, 0.5737) (multiplicity 2)  4 O 1.95-2.00
Mn (0.4222, 0.3538, 0.8685) (multiplicity 2)  6 O 1.88-2.03
O (0.0036, 0.2332, 0.4979) (multiplicity 2)  2 Mn 1.95-1.96, 2 Li 2.10-2.13
O (0.1296, 0.0527, 0.7948) (multiplicity 2)  2 Mn 1.95-1.97, 3 Li 2.11-2.15
O (0.1331, 0.5107, 0.7891) (multiplicity 2)  2 Mn 1.92-1.99, 3 Li 2.02-2.14
O (0.3131, 0.8119, 0.0743) (multiplicity 2)  1 Mn 1.88, 3 Li 2.02-2.06
O (0.3182, 0.3396, 0.0567) (multiplicity 2)  2 Mn 1.92-1.94, 3 Li 2.07-2.15
O (0.4361, 0.0885, 0.3599) (multiplicity 2)  2 Mn 1.95-1.98, 2 Li 2.10-2.15
O (0.4539, 0.6245, 0.3258) (multiplicity 2)  3 Mn 2.00-2.03, 2 Li 2.09-2.13